No. 1
{"formula": "Li3Rh", "functional": "SCAN", "state": "single point on PBEsol structure", "cell": [[2.7156, 0.0000, 0.0000], [-1.3578, 2.3518, 0.0000], [0.0000, 0.0000, 9.3433]], "species": ["Rh", "Li", "Li", "Li"], "frac_coords": [[0.3333, 0.6667, 0.5000], [0.0000, 0.0000, 0.2813], [0.0000, 0.0000, 0.7187], [0.3333, 0.6667, 0.0000]], "sg": "P-6m2", "energy_ev_per_cell": -41.3, "crystal_system": "hexagonal", "m_tot_mub_per_fu": 0.21, "formation_enthalpy_0k_mev_per_atom": -80}

=====

No. 2
{"formula": "La2FeIr", "functional": "SCAN", "state": "single point on PBEsol structure", "cell": [[-1.7507, -1.2558, 2.8551], [2.7770, -2.1120, 0.7739], [2.7398, 5.0194, 3.8876]], "species": ["Fe", "Ir", "La", "La"], "frac_coords": [[0.5000, 0.5000, 0.5000], [0.5000, 0.5000, 0.0000], [0.0000, 0.0007, 0.7569], [0.0000, 0.9993, 0.2431]], "sg": "P4/mmm", "energy_ev_per_cell": -176.2, "crystal_system": "tetragonal", "m_tot_mub_per_fu": 1.64, "formation_enthalpy_0k_mev_per_atom": -183}

=====

No. 3
{"formula": "Ba2MnAu", "functional": "SCAN", "state": "single point on PBEsol structure", "cell": [[-0.1532, 2.9646, 2.6082], [-4.9144, -1.5484, 1.4714], [4.8411, -4.1668, 2.0270]], "species": ["Au", "Ba", "Ba", "Mn"], "frac_coords": [[0.2034, 0.7034, 0.4068], [0.9700, 0.9700, 0.9400], [0.7672, 0.2672, 0.5343], [0.5594, 0.5594, 0.1189]], "de_polymorph_ev_per_fu": 0.000, "sg": "Imm2", "energy_ev_per_cell": -167.5, "crystal_system": "orthorhombic", "m_tot_mub_per_fu": 3.63, "formation_enthalpy_0k_mev_per_atom": -258}

=====

No. 4
{"formula": "ReSb2Br", "functional": "SCAN", "state": "single point on PBEsol structure", "cell": [[3.4407, 0.0000, 0.0000], [1.7203, 2.9797, 0.0000], [1.7203, 0.9932, 8.6067]], "species": ["Re", "Br", "Sb", "Sb"], "frac_coords": [[0.0000, 0.0000, 0.0000], [0.5000, 0.5000, 0.5000], [0.2613, 0.2613, 0.2161], [0.7387, 0.7387, 0.7839]], "e_form_raw_mev_per_atom": 240.4, "de_polymorph_ev_per_fu": 0.000, "sg": "R-3m", "energy_ev_per_cell": -164.1, "crystal_system": "trigonal", "m_tot_mub_per_fu": 0.00}

=====

No. 5
{"formula": "HWN2O", "functional": "SCAN", "state": "single point on PBEsol structure", "cell": [[-3.4490, 1.5951, -0.4141], [-0.2847, -1.5558, -3.6213], [-1.6797, -3.2366, 1.5226]], "species": ["H", "O", "W", "N", "N"], "frac_coords": [[0.5000, 0.5000, 0.5000], [0.5000, 0.0000, 0.0000], [0.0000, 0.0000, 0.0000], [0.0000, 0.0000, 0.5000], [0.0000, 0.5000, 0.0000]], "sg": "P4/mmm", "energy_ev_per_cell": -96.1, "crystal_system": "tetragonal", "m_tot_mub_per_fu": 1.00}

=====

No. 6
{"formula": "GaSiH3", "functional": "SCAN", "state": "single point on PBEsol structure", "cell": [[3.5761, 0.0000, 0.0000], [0.0000, 3.5761, 0.0000], [0.0000, 0.0000, 3.5761]], "species": ["H", "H", "H", "Si", "Ga"], "frac_coords": [[0.0000, 0.5000, 0.0000], [0.0000, 0.0000, 0.5000], [0.5000, 0.0000, 0.0000], [0.0000, 0.0000, 0.0000], [0.5000, 0.5000, 0.5000]], "de_polymorph_ev_per_fu": 0.000, "sg": "Pm-3m", "energy_ev_per_cell": -33.7, "crystal_system": "cubic", "m_tot_mub_per_fu": 0.00}